# 1
An optimized crystal structure of ZrScTlPd, computed with PBE.

Computed properties:
Calculated density (g/cm3): 8.906
Space group: F-43m
Energy of formation (kJ/mol of formula units): -138
D(E_F) (states/eV/cell): 4.6

extended XYZ file:
```
4
Lattice="4.903 0.000 0.000 2.451 4.246 0.000 2.451 1.415 4.003" Properties=species:S:1:pos:R:3 pbc="T T T"
Sc 0.000 0.000 0.000
Tl 2.451 1.415 1.001
Zr 4.903 2.831 2.002
Pd 7.354 4.246 3.002
```

***

# 2
An optimized crystal structure of ZrScTl2Pd, computed with PBE.

Computed properties:
Calculated density (g/cm3): 7.532
Space group: P4/mmm
Energy of formation (kJ/mol of formula units): 450
D(E_F) (states/eV/cell): 4.2

extended XYZ file:
```
5
Lattice="-2.476 4.751 0.787 -4.014 -1.726 -2.211 -1.868 -1.763 4.767" Properties=species:S:1:pos:R:3 pbc="T T T"
Sc 0.000 0.000 0.000
Tl -0.934 -0.882 2.384
Tl -1.238 2.376 0.393
Zr -2.007 -0.863 -1.106
Pd -4.179 0.631 1.671
```

***

# 3
An optimized crystal structure of ZrScTlPd2, computed with PBE.

Computed properties:
Calculated density (g/cm3): 7.048
Space group: P4/mmm
Energy of formation (kJ/mol of formula units): 255
D(E_F) (states/eV/cell): 3.8

extended XYZ file:
```
5
Lattice="4.953 0.000 0.000 0.000 5.314 0.000 0.000 0.000 4.953" Properties=species:S:1:pos:R:3 pbc="T T T"
Sc 0.000 2.657 0.000
Tl 2.477 2.657 2.477
Zr 0.000 0.000 0.000
Pd 0.000 0.000 2.477
Pd 2.477 0.000 0.000
```

***

# 4
An optimized crystal structure of Tm2ScPd, computed with PBE.

Computed properties:
Energy above the most stable polymorph in this dataset (meV per atom): 172.7
Calculated density (g/cm3): 8.038
Space group: R3m
Energy of formation (kJ/mol of formula units): -110
D(E_F) (states/eV/cell): 4.3

extended XYZ file:
```
4
Lattice="-0.580 0.405 3.441 -2.510 -1.873 1.590 5.245 -7.317 3.538" Properties=species:S:1:pos:R:3 pbc="T T T"
Tm 3.913 -5.868 3.143
Tm 0.308 -1.946 2.074
Sc 1.065 -4.380 4.281
Pd -2.055 -0.985 3.355
```

***

# 5
An optimized crystal structure of Tm3ScPd4, computed with PBE.

Computed properties:
Calculated density (g/cm3): 10.110
Space group: Pmmm
Energy of formation (kJ/mol of formula units): -715
D(E_F) (states/eV/cell): 3.7

extended XYZ file:
```
8
Lattice="-2.079 -2.358 -1.203 2.775 -3.476 2.017 -5.311 0.507 8.182" Properties=species:S:1:pos:R:3 pbc="T T T"
Sc 0.348 -2.917 0.407
Tm -2.345 -1.054 1.410
Tm -2.307 -2.663 4.498
Tm -5.044 -0.797 5.569
Pd -2.655 0.253 4.091
Pd -2.651 -1.353 7.230
Pd 0.000 0.000 0.000
Pd 0.115 -1.617 2.969
```

***

# 6
An optimized crystal structure of TmSc2Pd2, computed with PBE.

Computed properties:
Calculated density (g/cm3): 7.025
Space group: P2_1/m
Energy of formation (kJ/mol of formula units): -322
D(E_F) (states/eV/cell): 8.9

extended XYZ file:
```
10
Lattice="-3.291 -3.118 -0.594 2.542 -1.930 -3.954 3.096 -4.843 8.270" Properties=species:S:1:pos:R:3 pbc="T T T"
Tm 1.853 -3.376 -1.343
Tm 0.494 -6.514 5.065
Sc 3.887 -6.556 4.080
Sc -1.541 -3.334 -0.358
Sc 1.541 -3.877 3.016
Sc 0.806 -6.013 0.706
Pd 3.359 -5.538 1.660
Pd -1.013 -4.352 2.062
Pd 2.982 -6.081 6.600
Pd -0.635 -3.809 -2.878
```

***

Q: Which value of energy of formation does entry 1 give?
A: -138 kJ/mol of formula units

***

Q: Which formula does entry 6 have?
A: TmSc2Pd2

***

Q: What is the calculated density in the second record?
A: 7.532 g/cm3

***

Q: What is the formula in the fourth record?
A: Tm2ScPd